KC3, relaxed, DFT PBE; E_form = 2.194 eV/atom; electronic total energy = -4.998 eV per atom; relative energy among the computed polymorphs = 6.495 eV/f.u.
1.0
2.973 -0.255 0.000
-0.309 2.968 0.000
0.000 0.000 5.718
C K
3 1
Direct
0.000 0.000 0.867
0.500 0.500 0.750
0.000 0.000 0.633
0.500 0.500 0.250